# 1
Density functional theory data (GGA-PBE) for an optimized crystal structure of CuBrF3.

POSCAR file:
```
CuBrF3
1.0
-2.8357 3.4207 -0.5566
0.2323 -0.5300 -4.4405
-3.4579 -2.8408 0.1582
Cu Br F
1 1 3
Cartesian
-3.0307 0.0250 -2.4194
0.0000 0.0000 0.0000
0.1161 -0.2650 -2.2202
-1.7290 -1.4204 0.0791
-1.4179 1.7104 -0.2783
```

Output
As for the space-group type: Pm-3m (221). Its raw formation energy is -0.782 eV per formula unit. The calculation puts the total energy at -2.4329 eV per atom. The excess energy over the best structure of this formula in the dataset is 721 meV per atom.



# 2
Density functional theory data (GGA-PBE) for an optimized crystal structure of Ta3Cu2C.

POSCAR file:
```
Ta3Cu2C
1.0
-6.5524 1.8602 1.4771
-1.8225 -6.7167 0.3742
1.5234 -0.0345 6.8011
Ta Cu C
12 8 4
Cartesian
-3.8023 -0.8307 4.7328
-3.3733 0.9878 7.0103
-4.2556 -3.1962 3.0368
-5.7381 -0.7677 6.9524
-1.9655 -3.1284 4.8885
-2.9020 0.0016 2.1216
-0.8073 -5.8197 5.1941
-6.3735 -4.9573 4.0809
-1.9906 -2.6840 1.3251
-6.9531 -3.1160 1.8558
-2.4478 -4.6683 7.3530
-0.4998 -1.1670 3.3632
-3.1056 -1.8546 7.3243
-4.6548 -3.3228 5.8783
-6.4755 -2.1186 4.5066
-3.6380 -5.4633 4.8628
-2.1826 -5.1892 2.7526
-5.6881 -0.6332 2.5521
-1.1776 -0.6367 6.1218
-0.4838 -0.3454 0.6110
-5.0090 0.7666 5.5899
-0.6251 -3.9956 6.3694
-5.4995 -4.7188 2.1008
-2.5693 -1.8341 3.2446
```

Output
As for the space-group type: P4_132 (213). The calculation puts the total energy at -8.9949 eV per atom. The energy of formation from the pure elements comes out at -0.166 eV/atom.



# 3
Density functional theory data (GGA-PBE) for an optimized crystal structure of BaScCr2.

POSCAR file:
```
BaScCr2
1.0
-6.7200 -7.4697 1.3137
-4.0043 -9.3022 0.3405
-4.3703 -8.3970 3.6157
Ba Cr Sc
1 2 1
Cartesian
-11.3209 -18.8767 3.9524
-14.9235 -24.8836 5.2101
-7.7184 -12.8698 2.6946
-3.7736 -6.2922 1.3175
```

Output
As for the space-group type: R-3m (166). The calculation puts the total energy at -5.9228 eV per atom. The excess energy over the best structure of this formula in the dataset is 424 meV per atom. The energy of formation from the pure elements comes out at 0.952 eV/atom.



# 4
Density functional theory data (GGA-PBE) for an optimized crystal structure of ZrTiAsSe2.

POSCAR file:
```
ZrTiAsSe2
1.0
4.8290 0.0000 0.0000
0.0000 4.8290 0.0000
0.0000 0.0000 4.9222
As Se Zr Ti
1 2 1 1
Cartesian
0.0000 0.0000 2.4611
0.0000 2.4145 0.0000
2.4145 0.0000 0.0000
2.4145 2.4145 2.4611
0.0000 0.0000 0.0000
```

Output
As for the space-group type: P4/mmm (123). Its raw formation energy is -1.022 eV per formula unit. The calculation puts the total energy at -5.8166 eV per atom. The excess energy over the best structure of this formula in the dataset is 0 meV per atom.



# 5
Density functional theory data (GGA-PBE) for an optimized crystal structure of Y2TmSb3.

POSCAR file:
```
Y2TmSb3
1.0
4.3746 0.0000 0.0000
0.0000 6.1827 0.0000
-2.1873 -3.0914 6.5596
Y Tm Sb
2 1 3
Cartesian
2.1873 0.0000 2.1961
0.0000 3.0914 4.3636
0.0000 3.0914 0.0000
0.0000 0.0000 4.4026
0.0000 0.0000 0.0000
2.1873 3.0914 2.1570
```

Output
As for the space-group type: Immm (71). Its raw formation energy is -6.794 eV per formula unit. The calculation puts the total energy at -6.0935 eV per atom.



# 6
Density functional theory data (GGA-PBE) for an optimized crystal structure of AcMgAlHg3.

POSCAR file:
```
AcMgAlHg3
1.0
-2.9778 -2.7486 -5.0533
-2.4618 -5.2824 4.3239
-4.4399 6.3624 -0.8444
Ac Mg Al Hg
2 2 2 6
Cartesian
-5.6186 0.1600 -3.0034
-4.2608 -1.8285 1.4297
-7.0901 0.0281 2.0870
-2.7893 -1.6966 -3.6608
-4.8889 2.0325 -0.3004
-4.9905 -3.7010 -1.2734
-2.6186 0.5427 -0.8279
-0.7277 -1.5614 1.2781
-3.2230 -5.0953 0.5192
-2.2166 -2.9357 -1.2485
-1.7341 -3.7210 3.0458
-7.2608 -2.2113 -0.7459
```

Output
As for the space-group type: Cmcm (63). The calculation puts the total energy at -1.8200 eV per atom. The energy of formation from the pure elements comes out at -0.095 eV/atom.



# 7
Density functional theory data (GGA-PBE) for an optimized crystal structure of LaSc2Rh2.

POSCAR file:
```
LaSc2Rh2
1.0
7.9207 0.0000 0.0000
0.0000 7.9207 0.0000
0.0000 0.0000 3.3133
Sc Rh La
4 4 2
Cartesian
1.0939 5.0542 1.6567
5.0542 6.8268 1.6567
6.8268 2.8665 1.6567
2.8665 1.0939 1.6567
2.7318 6.6922 0.0000
6.6922 5.1888 0.0000
5.1888 1.2285 0.0000
1.2285 2.7318 0.0000
0.0000 0.0000 0.0000
3.9603 3.9603 0.0000
```

Output
As for the space-group type: P4/mbm (127). The calculation puts the total energy at -7.1055 eV per atom. The excess energy over the best structure of this formula in the dataset is 0 meV per atom. The energy of formation from the pure elements comes out at -0.647 eV/atom.



# 8
Density functional theory data (GGA-PBE) for an optimized crystal structure of Nd2Pd3Au2.

POSCAR file:
```
Nd2Pd3Au2
1.0
4.1898 0.0000 0.0000
-2.0949 4.1747 -2.7418
0.0000 -0.8400 9.3191
Nd Pd Au
2 3 2
Cartesian
0.0000 3.3430 -0.2339
2.0949 -0.0083 6.8112
0.0000 -0.4200 4.6595
2.0949 1.3185 0.4392
0.0000 2.0163 6.1381
0.0000 1.5581 2.3268
2.0949 1.7766 4.2505
```

Output
As for the space-group type: C2/m (12). The calculation puts the total energy at -5.1463 eV per atom. The excess energy over the best structure of this formula in the dataset is 0 meV per atom. The energy of formation from the pure elements comes out at -0.622 eV/atom.



# 9
Density functional theory data (GGA-PBE) for an optimized crystal structure of ZrSCl2F.

POSCAR file:
```
ZrSCl2F
1.0
4.9871 0.0000 0.0000
0.0000 4.9871 0.0000
0.0000 0.0000 3.6918
S F Zr Cl
1 1 1 2
Cartesian
0.0000 0.0000 1.8459
0.0000 0.0000 0.0000
2.4936 2.4936 1.8459
0.0000 2.4936 0.0000
2.4936 0.0000 0.0000
```

Output
As for the space-group type: P4/mmm (123). Its raw formation energy is -1.088 eV per formula unit. The calculation puts the total energy at -3.8657 eV per atom. The excess energy over the best structure of this formula in the dataset is 864 meV per atom.



# 10
Density functional theory data (GGA-PBE) for an optimized crystal structure of LiYAg6.

POSCAR file:
```
LiYAg6
1.0
4.4607 -0.0001 1.2177
2.1897 4.2643 0.7577
0.2045 -0.8696 8.0299
Li Y Ag
1 1 6
Cartesian
0.0000 0.0000 0.0000
1.1971 1.6974 4.3938
3.0847 3.1266 6.2583
2.9501 0.3347 6.7512
1.9974 1.5439 1.4621
3.9048 3.0599 3.2542
3.7702 0.2680 3.7470
4.8575 1.8508 8.5433
```

Output
As for the space-group type: C2/m (12). The calculation puts the total energy at -3.3539 eV per atom. The excess energy over the best structure of this formula in the dataset is 0 meV per atom. The energy of formation from the pure elements comes out at -0.168 eV/atom.



# 11
Density functional theory data (GGA-PBE) for an optimized crystal structure of TbDy2Ga2.

POSCAR file:
```
TbDy2Ga2
1.0
-2.6716 2.2549 -2.5806
-4.6982 1.1971 5.9099
3.7778 6.4238 1.7020
Tb Dy Ga
2 4 4
Cartesian
0.0000 0.0000 0.0000
-0.4602 3.8105 3.8059
0.3928 5.6667 0.8865
-1.3835 7.2394 4.0995
-3.9848 4.2091 4.1448
-2.2086 2.6364 0.9317
1.5387 6.1110 3.7466
-1.7957 5.0341 6.2576
-2.4592 1.5100 3.8652
0.8752 2.5868 1.3542
```

Output
As for the space-group type: P4/mbm (127). The calculation puts the total energy at -4.4884 eV per atom. The excess energy over the best structure of this formula in the dataset is 0 meV per atom. The energy of formation from the pure elements comes out at -0.511 eV/atom.



# 12
Density functional theory data (GGA-PBE) for an optimized crystal structure of La3TbHo2Sb6.

POSCAR file:
```
La3TbHo2Sb6
1.0
7.8117 -0.0002 0.0011
-3.9041 6.7661 0.0011
-1.3025 -2.2553 7.3341
La Tb Ho Sb
3 1 2 6
Cartesian
-2.6082 4.5138 3.6681
5.2132 -0.0033 3.6681
1.3025 2.2553 3.6681
0.0000 0.0000 0.0000
-0.0005 4.5116 0.0011
3.9080 2.2543 0.0011
3.9114 2.2465 5.6022
2.5999 4.5017 1.7315
-1.3064 2.2641 1.7340
-0.0089 4.5106 5.6022
0.0051 0.0088 5.6048
2.6139 0.0000 1.7340
```

Output
As for the space-group type: C2/m (12). Its raw formation energy is -14.354 eV per formula unit. The calculation puts the total energy at -5.6380 eV per atom.